1.
YScRh2F | PBE-GGA | relaxed

Cell lengths 4.766, 4.766, 4.139 Å; angles 90.00, 90.00, 90.00 degrees
Space group P4/mmm (No. 123)
Inequivalent atoms, fractional coordinates:
Y1 0.000 0.000 0.000 x1
Sc1 0.500 0.500 0.000 x1
Rh1 0.000 0.500 0.500 x2
F1 0.000 0.000 0.500 x1

Output
E_form (uncorrected)   -0.617 eV per atom

=====

2.
SmY2F11 | PBE-GGA | relaxed

Cell lengths 8.420, 10.319, 11.367 Å; angles 90.00, 90.00, 90.00 degrees
Space group Ibam (No. 72)
Inequivalent atoms, fractional coordinates:
Sm1 0.000 0.000 0.250 x4
Y1 0.159 0.311 0.000 x8
F1 0.000 0.500 0.000 x4
F2 0.103 0.172 0.141 x16
F3 0.109 0.306 0.500 x8
F4 0.209 0.077 0.367 x16

Output
E_form (uncorrected)   -3.429 eV per atom

=====

3.
NdDy6Ho2 | PBE-GGA | relaxed

Cell lengths 3.557, 8.695, 9.395 Å; angles 90.08, 100.86, 90.06 degrees
Space group P-1 (No. 2)
Inequivalent atoms, fractional coordinates:
Nd1 0.000 0.000 0.000 x1
Dy1 0.111 0.665 0.223 x2
Dy2 0.222 0.335 0.444 x2
Dy3 0.333 0.000 0.664 x2
Ho1 0.444 0.664 0.888 x2

=====

| no. | raw total energy (eV/cell) | calculated volume (Å³/atom) |
| --- | --- | --- |
| 1 | -32.5 | 18.801 |
| 2 | -345.0 | 17.636 |
| 3 | -41.4 | 31.705 |